(1)
First-principles (PBE) data for a geometry-optimized LaNiSnC2 structure, as listed in Alexandria via LeMat-Bulk.

abc: 4.3741 4.3741 4.6619
angles: 90.00 90.00 90.00
Closest atoms and distances in Å follow each position.
Sites, in units of the cell vectors:
La 0.0000 0.0000 0.0000  4 Ni 3.09, 8 C 3.20
Ni 0.5000 0.5000 0.0000  2 Sn 2.33
Sn 0.5000 0.5000 0.5000  4 C 2.19, 2 Ni 2.33
C 0.0000 0.5000 0.5000  2 Sn 2.19
C 0.5000 0.0000 0.5000  2 Sn 2.19

Summary:
Energy relative to the elements in meV/atom: 1323
DOS(E_F) in states/eV per atom: 0.88

=====

(2)
First-principles (PBE) data for a geometry-optimized La2NiSnC structure, as listed in Alexandria via LeMat-Bulk.

abc: 5.5587 5.5587 3.6830
angles: 90.00 90.00 90.00
Closest atoms and distances in Å follow each position.
Sites, in units of the cell vectors:
La 0.0000 0.5000 0.0000  2 C 2.78
La 0.5000 0.0000 0.0000  2 C 2.78
Ni 0.0000 0.0000 0.5000  2 C 1.84
Sn 0.5000 0.5000 0.5000  8 La 3.33, 2 Sn 3.68
C 0.0000 0.0000 0.0000  2 Ni 1.84

Summary:
Energy relative to the elements in meV/atom: -375
DOS(E_F) in states/eV per atom: 1.02

=====

(3)
First-principles (PBE) data for a geometry-optimized LaNi2SnC structure, as listed in Alexandria via LeMat-Bulk.

abc: 4.6326 4.6326 6.2358
angles: 90.00 90.00 90.00
Closest atoms and distances in Å follow each position.
Sites, in units of the cell vectors:
La 0.0000 0.0000 0.0000  4 Ni 2.32
Ni 0.0000 0.5000 0.0000  2 La 2.32
Ni 0.5000 0.0000 0.0000  2 La 2.32
Sn 0.0000 0.0000 0.5000  2 La 3.12, 4 C 3.28
C 0.5000 0.5000 0.5000  4 Sn 3.28

Summary:
Energy relative to the elements in meV/atom: 2317
DOS(E_F) in states/eV per atom: 0.69

=====

(4)
First-principles (PBE) data for a geometry-optimized LaTa2NiC structure, as listed in Alexandria via LeMat-Bulk.

abc: 4.2448 4.2448 5.1685
angles: 90.00 90.00 90.00
Closest atoms and distances in Å follow each position.
Sites, in units of the cell vectors:
La 0.0000 0.0000 0.0000  2 C 2.58
Ta 0.0000 0.5000 0.5000  2 C 2.12
Ta 0.5000 0.0000 0.5000  2 C 2.12
Ni 0.5000 0.5000 0.0000  4 La 3.00, 8 Ta 3.34
C 0.0000 0.0000 0.5000  4 Ta 2.12

Summary:
Energy relative to the elements in meV/atom: 230
DOS(E_F) in states/eV per atom: 1.14

=====

(5)
First-principles (PBE) data for a geometry-optimized LaTcNi2C structure, as listed in Alexandria via LeMat-Bulk.

abc: 3.7918 3.7918 5.2009
angles: 90.00 90.00 90.00
Closest atoms and distances in Å follow each position.
Sites, in units of the cell vectors:
La 0.0000 0.0000 0.0000  2 C 2.60, 4 Tc 2.68
Tc 0.5000 0.5000 0.0000  4 La 2.68
Ni 0.0000 0.5000 0.5000  2 C 1.90
Ni 0.5000 0.0000 0.5000  2 C 1.90
C 0.0000 0.0000 0.5000  4 Ni 1.90

Summary:
Energy relative to the elements in meV/atom: 502
DOS(E_F) in states/eV per atom: 1.30

=====

(6)
First-principles (PBE) data for a geometry-optimized La2NiTeC structure, as listed in Alexandria via LeMat-Bulk.

abc: 5.4302 5.4302 3.7845
angles: 90.00 90.00 90.00
Closest atoms and distances in Å follow each position.
Sites, in units of the cell vectors:
La 0.0000 0.5000 0.0000  2 C 2.72
La 0.5000 0.0000 0.0000  2 C 2.72
Ni 0.0000 0.0000 0.5000  2 C 1.89
Te 0.5000 0.5000 0.5000  8 La 3.31
C 0.0000 0.0000 0.0000  2 Ni 1.89

Summary:
DOS(E_F) in states/eV per atom: 0.79
Energy relative to the elements, uncorrected in eV per atom: -0.7015